Density functional theory data (PBE) for crystalline LiYZnCo at its relaxed geometry.

Cell and atoms, written as CIF:
```
data_LiYZnCo
_chemical_formula_sum 'Li1 Y1 Zn1 Co1'
_cell_length_a 4.5170
_cell_length_b 4.5170
_cell_length_c 4.5170
_cell_angle_alpha 60.00
_cell_angle_beta 60.00
_cell_angle_gamma 60.00
_space_group_name_H-M_alt 'P 1'
_space_group_IT_number 1
_space_group_name_Hall 'P 1'
loop_
_atom_site_label
_atom_site_type_symbol
_atom_site_fract_x
_atom_site_fract_y
_atom_site_fract_z
Co1 Co 0.7500 0.7500 0.7500
Li1 Li 0.2500 0.2500 0.2500
Y1 Y 0.5000 0.5000 0.5000
Zn1 Zn 0.0000 0.0000 0.0000
```

Summary:
E in eV/atom: -4.244
Energy above the lowest structure with this stoichiometry in kJ/mol of formula units: 0

***

Density functional theory data (PBE) for crystalline NaPuCuTeSe2 at its relaxed geometry.

Cell and atoms, written as CIF:
```
data_NaPuCuTeSe2
_chemical_formula_sum 'Na2 Pu2 Cu2 Te2 Se4'
_cell_length_a 8.0204
_cell_length_b 4.0780
_cell_length_c 9.9076
_cell_angle_alpha 90.00
_cell_angle_beta 104.38
_cell_angle_gamma 90.00
_space_group_name_H-M_alt 'P 1'
_space_group_IT_number 1
_space_group_name_Hall 'P 1'
loop_
_atom_site_label
_atom_site_type_symbol
_atom_site_fract_x
_atom_site_fract_y
_atom_site_fract_z
Cu1 Cu 0.0765 0.2500 0.0851
Cu2 Cu 0.9235 0.7500 0.9149
Na1 Na 0.7857 0.7500 0.2503
Na2 Na 0.2143 0.2500 0.7497
Pu1 Pu 0.3166 0.7500 0.3463
Pu2 Pu 0.6834 0.2500 0.6537
Se1 Se 0.0735 0.2500 0.3361
Se2 Se 0.5686 0.2500 0.3574
Se3 Se 0.4314 0.7500 0.6426
Se4 Se 0.9265 0.7500 0.6639
Te1 Te 0.2600 0.7500 0.0298
Te2 Te 0.7400 0.2500 0.9702
```

Summary:
E in eV/atom: -5.853

***

Density functional theory data (PBE) for crystalline NdCuSn2Ir at its relaxed geometry.

Cell and atoms, written as CIF:
```
data_NdCuSn2Ir
_chemical_formula_sum 'Nd2 Cu2 Sn4 Ir2'
_cell_length_a 4.5199
_cell_length_b 4.5199
_cell_length_c 10.7333
_cell_angle_alpha 90.00
_cell_angle_beta 90.00
_cell_angle_gamma 90.00
_space_group_name_H-M_alt 'P 1'
_space_group_IT_number 1
_space_group_name_Hall 'P 1'
loop_
_atom_site_label
_atom_site_type_symbol
_atom_site_fract_x
_atom_site_fract_y
_atom_site_fract_z
Cu1 Cu 0.0000 0.0000 0.0000
Cu2 Cu 0.5000 0.5000 0.0000
Ir1 Ir 0.5000 0.0000 0.3691
Ir2 Ir 0.0000 0.5000 0.6309
Nd1 Nd 0.0000 0.5000 0.2469
Nd2 Nd 0.5000 0.0000 0.7531
Sn1 Sn 0.5000 0.0000 0.1272
Sn2 Sn 0.0000 0.0000 0.5000
Sn3 Sn 0.5000 0.5000 0.5000
Sn4 Sn 0.0000 0.5000 0.8728
```

Summary:
E in eV/atom: -5.566

***

Density functional theory data (PBE) for crystalline ScNiHgB at its relaxed geometry.

Cell and atoms, written as CIF:
```
data_ScNiHgB
_chemical_formula_sum 'Sc1 Ni1 Hg1 B1'
_cell_length_a 4.3378
_cell_length_b 4.3378
_cell_length_c 4.3378
_cell_angle_alpha 60.00
_cell_angle_beta 60.00
_cell_angle_gamma 60.00
_space_group_name_H-M_alt 'P 1'
_space_group_IT_number 1
_space_group_name_Hall 'P 1'
loop_
_atom_site_label
_atom_site_type_symbol
_atom_site_fract_x
_atom_site_fract_y
_atom_site_fract_z
B1 B 0.0000 0.0000 0.0000
Hg1 Hg 0.2500 0.2500 0.2500
Ni1 Ni 0.5000 0.5000 0.5000
Sc1 Sc 0.7500 0.7500 0.7500
```

Summary:
E in eV/atom: -4.453
Energy above the lowest structure with this stoichiometry in kJ/mol of formula units: 0

***

Density functional theory data (PBE) for crystalline ZnSb2Pb at its relaxed geometry.

Cell and atoms, written as CIF:
```
data_ZnSb2Pb
_chemical_formula_sum 'Zn2 Sb4 Pb2'
_cell_length_a 4.3983
_cell_length_b 4.3983
_cell_length_c 11.4976
_cell_angle_alpha 90.00
_cell_angle_beta 90.00
_cell_angle_gamma 90.00
_space_group_name_H-M_alt 'P 1'
_space_group_IT_number 1
_space_group_name_Hall 'P 1'
loop_
_atom_site_label
_atom_site_type_symbol
_atom_site_fract_x
_atom_site_fract_y
_atom_site_fract_z
Pb1 Pb 0.0000 0.5000 0.2765
Pb2 Pb 0.5000 0.0000 0.7235
Sb1 Sb 0.5000 0.0000 0.1529
Sb2 Sb 0.0000 0.0000 0.5000
Sb3 Sb 0.5000 0.5000 0.5000
Sb4 Sb 0.0000 0.5000 0.8471
Zn1 Zn 0.0000 0.0000 0.0000
Zn2 Zn 0.5000 0.5000 0.0000
```

Summary:
E in eV/atom: -3.273

***

Density functional theory data (PBE) for crystalline RbAgPdO3 at its relaxed geometry.

Cell and atoms, written as CIF:
```
data_RbAgPdO3
_chemical_formula_sum 'Rb4 Ag4 Pd4 O12'
_cell_length_a 10.3681
_cell_length_b 3.1665
_cell_length_c 12.1716
_cell_angle_alpha 90.00
_cell_angle_beta 90.00
_cell_angle_gamma 90.00
_space_group_name_H-M_alt 'P 1'
_space_group_IT_number 1
_space_group_name_Hall 'P 1'
loop_
_atom_site_label
_atom_site_type_symbol
_atom_site_fract_x
_atom_site_fract_y
_atom_site_fract_z
Ag1 Ag 0.5928 0.5000 0.0338
Ag2 Ag 0.0928 0.0000 0.4662
Ag3 Ag 0.9072 0.5000 0.5338
Ag4 Ag 0.4072 0.0000 0.9662
O1 O 0.9498 0.5000 0.0835
O2 O 0.7164 0.0000 0.0877
O3 O 0.1942 0.0000 0.0949
O4 O 0.6942 0.5000 0.4051
O5 O 0.2164 0.5000 0.4123
O6 O 0.4498 0.0000 0.4165
O7 O 0.5502 0.5000 0.5835
O8 O 0.7836 0.0000 0.5877
O9 O 0.3058 0.0000 0.5949
O10 O 0.8058 0.5000 0.9051
O11 O 0.2836 0.5000 0.9123
O12 O 0.0502 0.0000 0.9165
Pd1 Pd 0.1269 0.5000 0.0065
Pd2 Pd 0.6269 0.0000 0.4935
Pd3 Pd 0.3731 0.5000 0.5065
Pd4 Pd 0.8731 0.0000 0.9935
Rb1 Rb 0.3542 0.5000 0.2285
Rb2 Rb 0.8542 0.0000 0.2715
Rb3 Rb 0.1458 0.5000 0.7285
Rb4 Rb 0.6458 0.0000 0.7715
```

Summary:
E in eV/atom: -4.518

***

Density functional theory data (PBE) for crystalline Zr2Ir at its relaxed geometry.

Cell and atoms, written as CIF:
```
data_Zr2Ir
_chemical_formula_sum 'Zr16 Ir8'
_cell_length_a 8.8540
_cell_length_b 8.8540
_cell_length_c 8.8540
_cell_angle_alpha 60.00
_cell_angle_beta 60.00
_cell_angle_gamma 60.00
_space_group_name_H-M_alt 'P 1'
_space_group_IT_number 1
_space_group_name_Hall 'P 1'
loop_
_atom_site_label
_atom_site_type_symbol
_atom_site_fract_x
_atom_site_fract_y
_atom_site_fract_z
Ir1 Ir 0.4025 0.4025 0.4025
Ir2 Ir 0.7925 0.4025 0.4025
Ir3 Ir 0.4025 0.7925 0.4025
Ir4 Ir 0.8475 0.8475 0.4575
Ir5 Ir 0.4025 0.4025 0.7925
Ir6 Ir 0.4575 0.8475 0.8475
Ir7 Ir 0.8475 0.8475 0.8475
Ir8 Ir 0.8475 0.4575 0.8475
Zr1 Zr 0.4374 0.0626 0.0626
Zr2 Zr 0.0626 0.4374 0.0626
Zr3 Zr 0.4374 0.4374 0.0626
Zr4 Zr 0.6250 0.6250 0.1250
Zr5 Zr 0.8126 0.1874 0.1874
Zr6 Zr 0.1874 0.8126 0.1874
Zr7 Zr 0.8126 0.8126 0.1874
Zr8 Zr 0.0626 0.0626 0.4374
Zr9 Zr 0.4374 0.0626 0.4374
Zr10 Zr 0.0626 0.4374 0.4374
Zr11 Zr 0.6250 0.1250 0.6250
Zr12 Zr 0.1250 0.6250 0.6250
Zr13 Zr 0.6250 0.6250 0.6250
Zr14 Zr 0.1874 0.1874 0.8126
Zr15 Zr 0.8126 0.1874 0.8126
Zr16 Zr 0.1874 0.8126 0.8126
```

Summary:
E in eV/atom: -9.267

***

Density functional theory data (PBE) for crystalline GdTmAg2Te4 at its relaxed geometry.

Cell and atoms, written as CIF:
```
data_GdTmAg2Te4
_chemical_formula_sum 'Gd1 Tm1 Ag2 Te4'
_cell_length_a 7.0972
_cell_length_b 7.0972
_cell_length_c 4.7069
_cell_angle_alpha 90.00
_cell_angle_beta 90.00
_cell_angle_gamma 90.10
_space_group_name_H-M_alt 'P 1'
_space_group_IT_number 1
_space_group_name_Hall 'P 1'
loop_
_atom_site_label
_atom_site_type_symbol
_atom_site_fract_x
_atom_site_fract_y
_atom_site_fract_z
Ag1 Ag 0.5000 0.0000 0.0032
Ag2 Ag 0.0000 0.5000 0.0032
Gd1 Gd 0.0000 0.0000 0.1914
Te1 Te 0.3012 0.3012 0.2904
Te2 Te 0.6988 0.6988 0.2904
Te3 Te 0.7949 0.2051 0.7074
Te4 Te 0.2051 0.7949 0.7074
Tm1 Tm 0.5000 0.5000 0.8067
```

Summary:
E in eV/atom: -4.328

***

Density functional theory data (PBE) for crystalline Tb2NdAl3AgPt2 at its relaxed geometry.

Cell and atoms, written as CIF:
```
data_Tb2NdAl3AgPt2
_chemical_formula_sum 'Tb2 Nd1 Al3 Ag1 Pt2'
_cell_length_a 4.0185
_cell_length_b 7.3625
_cell_length_c 7.3625
_cell_angle_alpha 120.24
_cell_angle_beta 90.00
_cell_angle_gamma 90.00
_space_group_name_H-M_alt 'P 1'
_space_group_IT_number 1
_space_group_name_Hall 'P 1'
loop_
_atom_site_label
_atom_site_type_symbol
_atom_site_fract_x
_atom_site_fract_y
_atom_site_fract_z
Ag1 Ag 0.0000 0.9955 0.9955
Al1 Al 0.5000 0.9966 0.2539
Al2 Al 0.5000 0.7481 0.7481
Al3 Al 0.5000 0.2539 0.9966
Nd1 Nd 0.0000 0.4170 0.4170
Pt1 Pt 0.5000 0.6723 0.3313
Pt2 Pt 0.5000 0.3313 0.6723
Tb1 Tb 0.0000 0.5840 0.0013
Tb2 Tb 0.0000 0.0013 0.5840
```

Summary:
E in eV/atom: -5.305

***

Density functional theory data (PBE) for crystalline Sm3ReO7 at its relaxed geometry.

Cell and atoms, written as CIF:
```
data_Sm3ReO7
_chemical_formula_sum 'Sm6 Re2 O14'
_cell_length_a 6.5163
_cell_length_b 6.5163
_cell_length_c 7.5086
_cell_angle_alpha 90.00
_cell_angle_beta 90.00
_cell_angle_gamma 68.71
_space_group_name_H-M_alt 'P 1'
_space_group_IT_number 1
_space_group_name_Hall 'P 1'
loop_
_atom_site_label
_atom_site_type_symbol
_atom_site_fract_x
_atom_site_fract_y
_atom_site_fract_z
O1 O 0.0625 0.6831 0.0387
O2 O 0.3169 0.9375 0.0387
O3 O 0.9195 0.0805 0.2500
O4 O 0.3938 0.3433 0.2500
O5 O 0.6567 0.6062 0.2500
O6 O 0.0625 0.6831 0.4613
O7 O 0.3169 0.9375 0.4613
O8 O 0.6831 0.0625 0.5387
O9 O 0.9375 0.3169 0.5387
O10 O 0.3433 0.3938 0.7500
O11 O 0.6062 0.6567 0.7500
O12 O 0.0805 0.9195 0.7500
O13 O 0.6831 0.0625 0.9613
O14 O 0.9375 0.3169 0.9613
Re1 Re 0.0000 0.0000 0.0000
Re2 Re 0.0000 0.0000 0.5000
Sm1 Sm 0.5000 0.5000 0.0000
Sm2 Sm 0.0258 0.4225 0.2500
Sm3 Sm 0.5775 0.9742 0.2500
Sm4 Sm 0.5000 0.5000 0.5000
Sm5 Sm 0.4225 0.0258 0.7500
Sm6 Sm 0.9742 0.5775 0.7500
```

Summary:
E in eV/atom: -8.400